# 1
NaCo2B after structural relaxation, computed with PBE-GGA.

## Properties
Space-group type: No. 225
ΔE_f, kJ/mol of formula units: 339
Total magnetization, μB/f.u.: 1.3
Theoretical density, g cm⁻³: 6.05
Relative energy among the computed polymorphs, eV/atom: 0.170

abc: 3.8909 3.8909 3.8909
angles: 60.00 60.00 60.00
Element x y z (fractional)
Na  0.0000  0.0000  0.0000
Co  0.2500  0.2500  0.2500
Co  0.7500  0.7500  0.7500
B  0.5000  0.5000  0.5000

=====

# 2
NaCo2B2 after structural relaxation, computed with PBE-GGA.

## Properties
Space-group type: No. 127
ΔE_f, kJ/mol of formula units: 108
Total magnetization, μB/f.u.: 0.0
Theoretical density, g cm⁻³: 5.70
Relative energy among the computed polymorphs, eV/atom: 0.258

abc: 6.1956 6.1956 2.4680
angles: 90.00 90.00 90.00
Element x y z (fractional)
Na  0.0000  0.0000  0.0000
Na  0.5000  0.5000  0.0000
Co  0.1514  0.3486  0.5000
Co  0.3486  0.8486  0.5000
Co  0.6514  0.1514  0.5000
Co  0.8486  0.6514  0.5000
B  0.1221  0.6221  0.0000
B  0.3779  0.1221  0.0000
B  0.6221  0.8779  0.0000
B  0.8779  0.3779  0.0000

=====

# 3
NaCo2B2 after structural relaxation, computed with PBE-GGA.

## Properties
Space-group type: No. 139
ΔE_f, kJ/mol of formula units: -16
Total magnetization, μB/f.u.: 0.0
Theoretical density, g cm⁻³: 4.15
Relative energy among the computed polymorphs, eV/atom: 0.000

abc: 5.6193 5.6193 5.6193
angles: 142.62 142.62 53.90
Element x y z (fractional)
Na  0.0000  0.0000  0.0000
Co  0.2500  0.7500  0.5000
Co  0.7500  0.2500  0.5000
B  0.3199  0.3199  0.0000
B  0.6801  0.6801  0.0000

=====

# 4
NaCo2B after structural relaxation, computed with PBE-GGA.

## Properties
Space-group type: No. 122
ΔE_f, kJ/mol of formula units: 273
Total magnetization, μB/f.u.: 2.1
Theoretical density, g cm⁻³: 3.79
Relative energy among the computed polymorphs, eV/atom: 0.000

abc: 7.1927 7.1927 7.1927
angles: 143.14 143.14 53.11
Element x y z (fractional)
Na  0.0000  0.0000  0.0000
Na  0.7500  0.2500  0.5000
Co  0.3634  0.1250  0.7384
Co  0.3750  0.6366  0.7616
Co  0.3866  0.6250  0.2616
Co  0.8750  0.6134  0.2384
B  0.2500  0.7500  0.5000
B  0.5000  0.5000  0.0000

=====

# 5
Na2CoB after structural relaxation, computed with PBE-GGA.

## Properties
Space-group type: No. 122
ΔE_f, kJ/mol of formula units: 255
Total magnetization, μB/f.u.: 0.7
Theoretical density, g cm⁻³: 1.96
Relative energy among the computed polymorphs, eV/atom: 0.000

abc: 7.4902 7.4902 7.4902
angles: 93.56 93.56 151.12
Element x y z (fractional)
Na  0.3750  0.1789  0.3039
Na  0.8211  0.1250  0.1961
Na  0.8750  0.0711  0.6961
Na  0.9289  0.6250  0.8039
Co  0.2500  0.7500  0.5000
Co  0.5000  0.5000  0.0000
B  0.0000  0.0000  0.0000
B  0.7500  0.2500  0.5000

=====

# 6
Na3CoB after structural relaxation, computed with PBE-GGA.

## Properties
Space-group type: No. 221
ΔE_f, kJ/mol of formula units: 814
Total magnetization, μB/f.u.: 0.4
Theoretical density, g cm⁻³: 1.63
Relative energy among the computed polymorphs, eV/atom: 0.340

abc: 5.2119 5.2119 5.2119
angles: 90.00 90.00 90.00
Element x y z (fractional)
Na  0.0000  0.0000  0.5000
Na  0.0000  0.5000  0.0000
Na  0.5000  0.0000  0.0000
Co  0.0000  0.0000  0.0000
B  0.5000  0.5000  0.5000

=====

> Look up the theoretical density of the fourth one.

3.79 g cm⁻³

=====

> Number 4 is which compound?

NaCo2B

=====

> Which value of ΔE_f does entry 2 give?

108 kJ/mol of formula units